Entry 1:
This record from Alexandria describes a relaxed Pr12Nd6Ho crystal. The functional is GGA-PBE.

Cell lengths 12.3960, 12.3960, 15.4948 Å; angles 90.00, 90.00, 120.00 degrees
Closest atoms and distances in Å follow each position.
Space group R-3 (No. 148, hexagonal axes)
Unique sites:
Pr (0.0013, 0.8292, 0.1897) [18 per cell]  4 Pr 3.55-3.72, 4 Nd 3.61-3.80, 1 Ho 3.63
Pr (0.0484, 0.8509, 0.4165) [18 per cell]  4 Pr 3.40-3.72, 3 Nd 3.47-3.54
Nd (0.0144, 0.4244, 0.6860) [18 per cell]  7 Pr 3.47-3.80, 1 Ho 3.59, 2 Nd 3.62
Ho (0.0000, 0.0000, 0.0000) [3 per cell]  6 Nd 3.59, 6 Pr 3.63

As for the energy above the most stable polymorph in this dataset: 0 meV/atom. For the formation energy, the calculation gives 0.12 eV per atom. Its density is 6.6 g/cm3.



Entry 2:
This record from Alexandria describes a relaxed Pr2Nd8Ho3 crystal. The functional is GGA-PBE.

Cell lengths 13.5003, 11.8660, 6.1781 Å; angles 90.00, 113.95, 90.00 degrees
Closest atoms and distances in Å follow each position.
Space group C2/m (No. 12)
Unique sites:
Pr (0.1900, 0.0000, 0.3431) [4 per cell]  6 Nd 3.27-3.49
Nd (0.0846, 0.0000, 0.7644) [4 per cell]  4 Nd 3.14-3.49, 3 Pr 3.27-3.49
Nd (0.1381, 0.5000, 0.1020) [4 per cell]  1 Pr 3.27, 2 Nd 3.42-3.49, 4 Ho 3.42-3.64
Nd (0.1627, 0.2608, 0.6589) [8 per cell]  2 Nd 3.42-3.64, 2 Pr 3.47-3.76, 3 Ho 3.48-3.77
Ho (0.0000, 0.2363, 0.0000) [4 per cell]  8 Nd 3.56-3.77, 2 Pr 3.81
Ho (0.0000, 0.5000, 0.5000) [2 per cell]  8 Nd 3.42-3.64

As for the energy above the most stable polymorph in this dataset: 0 meV/atom. For the formation energy, the calculation gives 0.16 eV per atom. Its density is 7.1 g/cm3.



Entry 3:
This record from Alexandria describes a relaxed Pr2NdHo5 crystal. The functional is GGA-PBE.

Cell lengths 16.3669, 9.9593, 6.5342 Å; angles 90.00, 97.90, 90.00 degrees
Closest atoms and distances in Å follow each position.
Space group C2/c (No. 15)
Unique sites:
Pr (0.0772, 0.2469, 0.1133) [8 per cell]  1 Nd 3.02, 2 Ho 3.19-3.35, 1 Pr 3.29
Nd (0.2500, 0.2500, 0.0000) [4 per cell]  2 Pr 3.02
Ho (0.0000, 0.4413, 0.7500) [4 per cell]  4 Pr 3.19-3.51, 2 Ho 3.47
Ho (0.0994, 0.0876, 0.6446) [8 per cell]  3 Pr 3.35-3.52, 1 Nd 3.54, 5 Ho 3.66-3.72
Ho (0.1965, 0.4101, 0.5238) [8 per cell]  1 Pr 3.49, 2 Nd 3.50-3.51, 7 Ho 3.66-3.76

As for the energy above the most stable polymorph in this dataset: 155 meV/atom. For the formation energy, the calculation gives 0.18 eV per atom. Its density is 7.9 g/cm3.



Entry 4:
This record from Alexandria describes a relaxed Pr4Nd5Ho3 crystal. The functional is GGA-PBE.

Cell lengths 16.4984, 6.0384, 9.5091 Å; angles 90.00, 116.60, 90.00 degrees
Closest atoms and distances in Å follow each position.
Space group C2/m (No. 12)
Unique sites:
Pr (0.0831, 0.0000, 0.4422) [4 per cell]  2 Pr 3.38-3.73, 3 Nd 3.49-3.62, 1 Ho 3.50
Pr (0.2186, 0.0000, 0.8787) [4 per cell]  3 Ho 3.40-3.56, 3 Pr 3.66-3.73, 3 Nd 3.72-3.75
Nd (0.0000, 0.0000, 0.0000) [2 per cell]  4 Ho 3.02-3.15
Nd (0.0739, 0.5000, 0.7025) [4 per cell]  2 Ho 3.34-3.55, 1 Nd 3.52
Nd (0.1717, 0.5000, 0.3885) [4 per cell]  4 Ho 3.28-3.56, 3 Pr 3.49-3.62
Ho (0.0000, 0.5000, 0.0000) [2 per cell]  2 Nd 3.02
Ho (0.2089, 0.0000, 0.2281) [4 per cell]  3 Nd 3.15-3.34, 2 Pr 3.40-3.50

For the formation energy, the calculation gives 0.20 eV per atom. Its density is 7.0 g/cm3.



Entry 5:
This record from Alexandria describes a relaxed Pr4NdHo5 crystal. The functional is GGA-PBE.

Cell lengths 3.5526, 8.8117, 11.3962 Å; angles 89.79, 89.98, 78.39 degrees
Closest atoms and distances in Å follow each position.
Space group P-1 (No. 2)
Unique sites:
Pr (0.0314, 0.4343, 0.2478) [2 per cell]  4 Ho 3.34-3.38, 2 Nd 3.42-3.43, 2 Pr 3.55
Pr (0.3389, 0.8169, 0.2500) [2 per cell]  4 Pr 3.55-3.75, 7 Ho 3.68-3.96, 1 Nd 3.94
Nd (0.5000, 0.5000, 0.5000) [1 per cell]  4 Pr 3.42-3.43, 4 Ho 3.54-3.55, 2 Nd 3.55
Ho (0.1736, 0.1545, 0.0460) [2 per cell]  2 Pr 3.34-3.72, 6 Ho 3.37-3.55
Ho (0.1755, 0.1510, 0.4492) [2 per cell]  2 Pr 3.35-3.68, 4 Ho 3.35-3.55, 2 Nd 3.54-3.55
Ho (0.5000, 0.5000, 0.0000) [1 per cell]  4 Pr 3.38, 6 Ho 3.51-3.55

As for the energy above the most stable polymorph in this dataset: 176 meV/atom. For the formation energy, the calculation gives 0.19 eV per atom. Its density is 7.3 g/cm3.



Entry 6:
This record from Alexandria describes a relaxed PrNd3Ho crystal. The functional is GGA-PBE.

Cell lengths 10.1714, 7.4981, 10.1761 Å; angles 90.00, 115.22, 90.00 degrees
Closest atoms and distances in Å follow each position.
Space group C2/m (No. 12)
Unique sites:
Pr (0.0000, 0.0000, 0.0000) [2 per cell]  6 Nd 3.47-3.81, 2 Ho 3.85
Pr (0.0000, 0.5000, 0.5000) [2 per cell]  6 Nd 3.53-3.74, 2 Ho 3.77
Nd (0.1023, 0.0000, 0.4068) [4 per cell]  7 Nd 3.36-3.59, 1 Pr 3.74
Nd (0.2485, 0.2074, 0.7580) [8 per cell]  2 Nd 3.11-3.48, 1 Ho 3.39, 1 Pr 3.47
Ho (0.0895, 0.5000, 0.8991) [4 per cell]  1 Ho 3.27, 6 Nd 3.39-3.52

As for the energy above the most stable polymorph in this dataset: 0 meV/atom. For the formation energy, the calculation gives 0.17 eV per atom. Its density is 7.0 g/cm3.



Entry 7:
This record from Alexandria describes a relaxed Pr3Nd8Ho3 crystal. The functional is GGA-PBE.

Cell lengths 5.7859, 10.9825, 15.4009 Å; angles 90.00, 90.00, 90.00 degrees
Closest atoms and distances in Å follow each position.
Space group Immm (No. 71)
Unique sites:
Pr (0.0000, 0.0000, 0.0000) [2 per cell]  4 Ho 3.64, 4 Pr 4.01, 4 Nd 4.04
Pr (0.0000, 0.5000, 0.3200) [4 per cell]  2 Ho 3.55, 8 Nd 3.71-3.79
Nd (0.0000, 0.1596, 0.2790) [8 per cell]  6 Nd 3.34-3.62, 2 Pr 3.71, 1 Ho 3.73
Nd (0.0000, 0.3379, 0.1030) [8 per cell]  4 Nd 3.17-3.42
Ho (0.0000, 0.0000, 0.5000) [2 per cell]  2 Ho 3.28
Ho (0.0000, 0.2987, 0.5000) [4 per cell]  1 Ho 3.28, 4 Pr 3.55-3.64, 4 Nd 3.62

For the formation energy, the calculation gives 0.10 eV per atom. Its density is 7.0 g/cm3.



Entry 8:
This record from Alexandria describes a relaxed Pr3Nd4Ho crystal. The functional is GGA-PBE.

Cell lengths 10.3825, 7.3465, 7.3401 Å; angles 90.00, 90.00, 90.00 degrees
Closest atoms and distances in Å follow each position.
Space group Pmna (No. 53)
Unique sites:
Pr (0.0000, 0.0000, 0.0000) [2 per cell]  8 Nd 3.67-3.68, 4 Pr 3.68
Pr (0.2500, 0.2525, 0.2500) [4 per cell]  8 Nd 3.63-3.71, 2 Ho 3.66, 2 Pr 3.68
Nd (0.0000, 0.0000, 0.5000) [2 per cell]  6 Pr 3.67-3.68, 2 Ho 3.67, 4 Nd 3.68
Nd (0.0000, 0.5000, 0.0000) [2 per cell]  4 Nd 3.66, 6 Pr 3.66-3.67, 2 Ho 3.67
Nd (0.2500, 0.2528, 0.7500) [4 per cell]  6 Pr 3.63-3.71, 2 Ho 3.66, 4 Nd 3.66-3.68
Ho (0.0000, 0.5000, 0.5000) [2 per cell]  8 Nd 3.66-3.67, 4 Pr 3.66

As for the energy above the most stable polymorph in this dataset: 11 meV/atom. For the formation energy, the calculation gives 0.01 eV per atom. Its density is 6.9 g/cm3.



Entry 9:
This record from Alexandria describes a relaxed Pr4Nd5Ho2 crystal. The functional is GGA-PBE.

Cell lengths 24.4353, 3.5386, 8.9936 Å; angles 90.00, 96.71, 90.00 degrees
Closest atoms and distances in Å follow each position.
Space group C2/m (No. 12)
Unique sites:
Pr (0.0443, 0.0000, 0.3591) [4 per cell]  2 Ho 3.32-3.43, 1 Nd 3.43, 3 Pr 3.52-3.54
Pr (0.1770, 0.5000, 0.4701) [4 per cell]  4 Pr 3.54-3.73, 5 Nd 3.67-3.73, 2 Ho 3.78
Nd (0.0000, 0.5000, 0.0000) [2 per cell]  6 Nd 3.54-3.92, 4 Pr 3.73, 4 Ho 3.88
Nd (0.1417, 0.0000, 0.1144) [4 per cell]  3 Pr 3.43-3.67, 1 Ho 3.50, 5 Nd 3.54-3.58
Nd (0.2301, 0.0000, 0.8234) [4 per cell]  1 Ho 3.40, 7 Nd 3.54-3.67, 3 Pr 3.68-3.73
Ho (0.0912, 0.0000, 0.7337) [4 per cell]  2 Pr 3.32-3.43, 2 Nd 3.40-3.50, 2 Ho 3.54

As for the energy above the most stable polymorph in this dataset: 48 meV/atom. For the formation energy, the calculation gives 0.13 eV per atom. Its density is 6.9 g/cm3.



Entry 10:
This record from Alexandria describes a relaxed Pr4Nd6Ho crystal. The functional is GGA-PBE.

Cell lengths 6.8383, 6.8383, 17.0603 Å; angles 90.00, 90.00, 90.00 degrees
Closest atoms and distances in Å follow each position.
Space group I-42m (No. 121)
Unique sites:
Pr (0.1891, 0.1891, 0.3226) [8 per cell]  5 Nd 3.45-3.77, 1 Ho 3.54, 1 Pr 3.66
Nd (0.0000, 0.5000, 0.0000) [4 per cell]  4 Nd 3.26, 2 Ho 3.42
Nd (0.1737, 0.1737, 0.1206) [8 per cell]  3 Nd 3.26-3.36, 3 Pr 3.45-3.58
Ho (0.0000, 0.0000, 0.5000) [2 per cell]  8 Nd 3.42-3.77, 4 Pr 3.54

For the formation energy, the calculation gives 0.27 eV per atom. Its density is 6.6 g/cm3.



Entry 11:
This record from Alexandria describes a relaxed Pr3Nd5Ho3 crystal. The functional is GGA-PBE.

Cell lengths 11.4497, 11.4497, 3.4728 Å; angles 90.00, 90.00, 120.00 degrees
Closest atoms and distances in Å follow each position.
Space group P-62m (No. 189)
Unique sites:
Pr (0.0000, 0.5976, 0.0000) [3 per cell]  2 Ho 3.29, 2 Nd 3.46, 2 Pr 3.47
Nd (0.0000, 0.3364, 0.5000) [3 per cell]  2 Ho 3.34, 2 Pr 3.46, 2 Nd 3.47
Nd (0.3333, 0.6667, 0.5000) [2 per cell]  5 Nd 3.47-3.80
Ho (0.0000, 0.8416, 0.5000) [3 per cell]  4 Ho 3.14-3.47, 2 Pr 3.29, 2 Nd 3.34

As for the energy above the most stable polymorph in this dataset: 0 meV/atom. For the formation energy, the calculation gives 0.31 eV per atom. Its density is 6.9 g/cm3.



Entry 12:
This record from Alexandria describes a relaxed Pr2Nd2Ho7 crystal. The functional is GGA-PBE.

Cell lengths 11.3205, 11.6614, 6.1109 Å; angles 90.00, 113.86, 90.00 degrees
Closest atoms and distances in Å follow each position.
Space group C2/m (No. 12)
Unique sites:
Pr (0.0978, 0.0000, 0.3116) [4 per cell]  7 Ho 3.45-3.79, 2 Pr 3.55-3.79, 2 Nd 3.82
Nd (0.0000, 0.2898, 0.0000) [4 per cell]  6 Ho 3.31-3.49
Ho (0.0000, 0.5000, 0.5000) [2 per cell]  6 Ho 3.32-3.44
Ho (0.1728, 0.2618, 0.6765) [8 per cell]  6 Ho 3.29-3.63, 2 Nd 3.31-3.47, 1 Pr 3.67
Ho (0.2325, 0.5000, 0.0754) [4 per cell]  5 Ho 3.38-3.57, 3 Pr 3.45-3.79, 2 Nd 3.49

As for the energy above the most stable polymorph in this dataset: 0 meV/atom. For the formation energy, the calculation gives 0.15 eV per atom. Its density is 7.8 g/cm3.



Entry 13:
This record from Alexandria describes a relaxed Pr3Nd12Ho5 crystal. The functional is GGA-PBE.

Cell lengths 19.0396, 19.0396, 19.0396 Å; angles 90.00, 90.00, 90.00 degrees
Closest atoms and distances in Å follow each position.
Space group Ia-3d (No. 230)
Unique sites:
Pr (0.0000, 0.2500, 0.1250) [24 per cell]  8 Nd 3.24-3.62
Nd (0.0115, 0.0814, 0.6455) [96 per cell]  2 Ho 3.18-3.32, 1 Pr 3.24, 1 Nd 3.54
Ho (0.0000, 0.0000, 0.0000) [16 per cell]  6 Nd 3.18
Ho (0.0000, 0.2500, 0.3750) [24 per cell]  4 Nd 3.32

For the formation energy, the calculation gives 1.00 eV per atom. Its density is 5.7 g/cm3.



Entry 14:
This record from Alexandria describes a relaxed Pr8Nd6Ho crystal. The functional is GGA-PBE.

Cell lengths 9.6140, 9.6140, 6.7657 Å; angles 90.00, 90.00, 120.00 degrees
Closest atoms and distances in Å follow each position.
Space group P-3 (No. 147)
Unique sites:
Pr (0.0306, 0.2824, 0.1651) [6 per cell]  4 Nd 3.35-3.66, 3 Pr 3.39-3.41, 1 Ho 3.43
Pr (0.3333, 0.6667, 0.1127) [2 per cell]  3 Pr 3.39
Nd (0.0860, 0.4314, 0.6577) [6 per cell]  1 Nd 3.35, 4 Pr 3.35-3.66
Ho (0.0000, 0.0000, 0.5000) [1 per cell]  6 Pr 3.43

As for the energy above the most stable polymorph in this dataset: 48 meV/atom. For the formation energy, the calculation gives 0.16 eV per atom. Its density is 6.6 g/cm3.



Entry 15:
This record from Alexandria describes a relaxed PrNd2Ho6 crystal. The functional is GGA-PBE.

Cell lengths 18.0433, 9.9053, 3.4239 Å; angles 90.00, 100.93, 90.00 degrees
Closest atoms and distances in Å follow each position.
Space group C2/m (No. 12)
Unique sites:
Pr (0.0000, 0.0000, 0.0000) [2 per cell]  2 Pr 3.42, 8 Ho 3.49-3.55
Nd (0.1668, 0.5000, 0.6652) [4 per cell]  2 Nd 3.42, 8 Ho 3.48-3.54
Ho (0.0000, 0.3142, 0.5000) [4 per cell]  7 Ho 3.42-3.68, 2 Nd 3.48, 2 Pr 3.55
Ho (0.1669, 0.1870, 0.1656) [8 per cell]  7 Ho 3.42-3.70, 3 Nd 3.48-3.54, 1 Pr 3.49

As for the energy above the most stable polymorph in this dataset: 0 meV/atom. For the formation energy, the calculation gives 0.20 eV per atom. Its density is 7.8 g/cm3.



Entry 16:
This record from Alexandria describes a relaxed Pr5Nd2Ho crystal. The functional is GGA-PBE.

Cell lengths 12.2101, 10.3261, 9.0544 Å; angles 90.00, 92.17, 90.00 degrees
Closest atoms and distances in Å follow each position.
Space group P2_1/c (No. 14)
Unique sites:
Pr (0.0013, 0.2490, 0.2508) [4 per cell]  2 Pr 3.40-3.42, 2 Ho 3.43-3.44, 2 Nd 3.48
Pr (0.2330, 0.6753, 0.4506) [4 per cell]  4 Pr 3.27-3.62, 1 Ho 3.42, 1 Nd 3.58
Pr (0.2340, 0.1748, 0.9512) [4 per cell]  4 Pr 3.27-3.62, 1 Ho 3.42, 1 Nd 3.56
Pr (0.4161, 0.1602, 0.6465) [4 per cell]  5 Pr 3.27-3.61
Pr (0.4158, 0.6620, 0.1470) [4 per cell]  5 Pr 3.27-3.61
Nd (0.1467, 0.0002, 0.5913) [4 per cell]  1 Nd 3.36, 6 Pr 3.48-3.76
Nd (0.2932, 0.0005, 0.2846) [4 per cell]  1 Nd 3.36, 3 Pr 3.56-3.76, 1 Ho 3.67
Ho (0.0000, 0.0000, 0.0000) [2 per cell]  8 Pr 3.42-3.44
Ho (0.5000, 0.0000, 0.0000) [2 per cell]  2 Nd 3.67, 12 Pr 3.71-3.90

As for the energy above the most stable polymorph in this dataset: 130 meV/atom. For the formation energy, the calculation gives 0.14 eV per atom. Its density is 6.7 g/cm3.